First-principles (GGA-PBE) data for an optimized crystal structure of Sb2Ir, as listed in Alexandria.

Unit cell a=6.8804 b=6.8804 c=6.9265 alpha=60.08 beta=60.08 gamma=31.00
Fractional positions:
1 Sb 0.0486 0.0486 0.7351
2 Ir 0.3857 0.3857 0.0422
3 Ir 0.6143 0.6143 0.9578
4 Sb 0.7091 0.7091 0.2254
5 Sb 0.9514 0.9514 0.2649
6 Sb 0.2909 0.2909 0.7746

Results
* VASP energy: -0.430 Ry/atom
* crystal system: monoclinic
* formation energy from raw total energies: -0.150 eV per atom
* total magnetic moment: 0.0 μB per formula unit

---

First-principles (GGA-PBE) data for an optimized crystal structure of SbIr3, as listed in Alexandria.

Unit cell a=2.9062 b=3.8586 c=5.8280 alpha=90.00 beta=90.00 gamma=90.00
Fractional positions:
1 Ir 0.0000 0.0000 0.5000
2 Ir 0.5000 0.5000 0.2720
3 Ir 0.5000 0.5000 0.7280
4 Sb 0.0000 0.0000 0.0000

Results
* VASP energy: -0.544 Ry/atom
* crystal system: orthorhombic
* formation energy from raw total energies: 0.270 eV per atom
* total magnetic moment: 0.0 μB per formula unit